Entry from Alexandria: a geometry-optimized BaCr2SiO8 structure (PBE with a Hubbard U).

Unit cell a=5.0740 b=5.0740 c=7.6294 alpha=86.13 beta=86.13 gamma=63.61
Site moments in Bohr magnetons follow the coordinates.
Sites, in units of the cell vectors:
Ba: 0.0000 0.0000 0.5000  0.00
Cr: 0.6333 0.6333 0.1959  1.10
Cr: 0.3667 0.3667 0.8041  1.10
Si: 0.0000 0.0000 0.0000  0.01
O: 0.7475 0.2108 0.8307  -0.04
O: 0.7990 0.7990 0.0555  0.00
O: 0.6845 0.6845 0.4037  -0.04
O: 0.3155 0.3155 0.5963  -0.04
O: 0.2010 0.2010 0.9445  0.00
O: 0.2108 0.7475 0.8307  -0.04
O: 0.7892 0.2525 0.1693  -0.04
O: 0.2525 0.7892 0.1693  -0.04

## Properties
theoretical density	3.8	g/cm³
V	14.62	Å³/atom
electronic total energy	-7.0826	eV per atom
SG	C2/m (12)
D(E_F)	0.02	states/eV/atom